(1)
## SrPF (PBE)

Data for SrPF after structural relaxation.

a b c (Å): 9.2427 4.0648 8.8351
angles (deg): 90.00 118.97 90.00
Closest atoms and distances in Å follow each position.
Space group C2/m (No. 12)
One atom of each set of equivalent atoms:
Sr 0.0840 0.0000 0.2861  3 F 2.38-2.52
P 0.2372 0.5000 0.9360  2 P 2.28
F 0.1391 0.5000 0.4437  3 Sr 2.38-2.52

Output
volume	24.2	Å³ per atom
spin magnetization	0.0	Bohr magnetons per cell
energy relative to the elements, uncorrected	-2.1500	eV/atom

---

(2)
## MgP2 (PBE)

Data for MgP2 after structural relaxation.

a b c (Å): 4.0922 4.0922 3.5476
angles (deg): 90.00 90.00 120.00
Closest atoms and distances in Å follow each position.
Space group P-3m1 (No. 164)
One atom of each set of equivalent atoms:
Mg 0.0000 0.0000 0.0000  12 P 2.95-2.96
P 0.3333 0.6667 0.4956  3 P 2.36

Output
volume	17.2	Å³ per atom
energy of formation from the pure elements	0.129	eV per atom
spin magnetization	0.0	Bohr magnetons per cell

---

(3)
## CdNi (PBE)

Data for CdNi after structural relaxation.

a b c (Å): 4.1746 4.1746 8.7906
angles (deg): 90.00 90.00 120.00
Closest atoms and distances in Å follow each position.
Space group P6_3/mmc (No. 194)
One atom of each set of equivalent atoms:
Cd 0.3333 0.6667 0.0870  7 Ni 2.80-2.96, 4 Cd 2.85-2.87
Ni 0.0000 0.0000 0.2500  3 Ni 2.41
Ni 0.3333 0.6667 0.7500  3 Ni 2.41

Output
volume	16.6	Å³ per atom
energy of formation from the pure elements	0.162	eV per atom
spin magnetization	0.8	Bohr magnetons per cell

---

(4)
## NaYEr2S4 (PBE)

Data for NaYEr2S4 after structural relaxation.

a b c (Å): 6.7858 3.8843 6.7930
angles (deg): 90.00 109.05 90.00
Closest atoms and distances in Å follow each position.
Space group P2/m (No. 10)
One atom of each set of equivalent atoms:
Na 0.0000 0.0000 0.0000  6 S 2.78-2.81
Y 0.5000 0.5000 0.0000  6 S 2.78
Er 0.0000 0.5000 0.5000  6 S 2.75
Er 0.5000 0.0000 0.5000  6 S 2.73-2.75
S 0.2484 0.0000 0.7451  3 Er 2.75, 1 Na 2.78, 2 Y 2.78
S 0.2556 0.5000 0.2589  3 Er 2.73-2.75, 1 Y 2.78, 2 Na 2.81

Output
volume	21.2	Å³ per atom
spin magnetization	0.0	Bohr magnetons per cell
energy relative to the elements, uncorrected	-1.9115	eV/atom